Computed, not measured: a relaxed AlFePCl2 crystal at the GGA-PBE level of DFT.

abc: 4.415 5.901 4.415
angles: 90.00 90.00 90.00
Positions (direct):
P  0.500  0.500  0.500
Al  0.000  0.000  0.000
Fe  0.000  0.500  0.000
Cl  0.000  0.000  0.500
Cl  0.500  0.000  0.000

For the density of states at the Fermi level, the calculation gives 6.25 states/eV/cell. As for the magnetization: 0.5007 μB per atom. The raw formation energy comes out at 0.547 eV per atom. The relative energy among the computed polymorphs is 426 meV/atom. For the electronic total energy, the calculation gives -3.715 eV per atom.

Computed, not measured: a relaxed SrP2Pd2Pt crystal at the GGA-PBE level of DFT.

abc: 4.227 5.827 10.362
angles: 90.00 90.00 90.00
Positions (direct):
Sr  0.500  0.500  0.000
Sr  0.000  0.000  0.500
P  0.500  0.664  0.300
P  0.500  0.336  0.700
P  0.000  0.836  0.800
P  0.000  0.164  0.200
Pd  0.500  0.987  0.180
Pd  0.000  0.487  0.320
Pd  0.500  0.013  0.820
Pd  0.000  0.513  0.680
Pt  0.000  0.000  0.000
Pt  0.500  0.500  0.500

For the density of states at the Fermi level, the calculation gives 6.09 states/eV/cell. As for the magnetization: 0.0000 μB per atom. For the electronic total energy, the calculation gives -5.467 eV per atom. The value obtained for the energy relative to the elements is -0.645 eV per atom.

Computed, not measured: a relaxed Be2H5Ru crystal at the GGA-PBE level of DFT.

abc: 3.572 4.379 4.379
angles: 83.07 65.11 65.11
Positions (direct):
Be  0.723  0.615  0.029
Be  0.723  0.029  0.615
H  0.718  0.336  0.336
H  0.034  0.295  0.712
H  0.034  0.712  0.295
H  0.272  0.713  0.713
H  0.474  0.062  0.062
Ru  0.023  0.016  0.016

For the density of states at the Fermi level, the calculation gives 0.75 states/eV/cell. As for the magnetization: 0.0000 μB per atom. For the electronic total energy, the calculation gives -4.221 eV per atom.

Computed, not measured: a relaxed La2Mg3In6 crystal at the GGA-PBE level of DFT.

abc: 4.165 8.682 8.682
angles: 100.52 90.00 90.00
Positions (direct):
La  0.000  0.307  0.693
La  0.000  0.693  0.307
Mg  0.000  0.197  0.197
Mg  0.000  0.803  0.803
Mg  0.500  0.000  0.000
In  0.500  0.376  0.376
In  0.500  0.624  0.624
In  0.500  0.022  0.344
In  0.500  0.978  0.656
In  0.500  0.344  0.022
In  0.500  0.656  0.978

For the density of states at the Fermi level, the calculation gives 4.57 states/eV/cell. As for the magnetization: 0.0000 μB per atom. For the electronic total energy, the calculation gives -2.995 eV per atom. The value obtained for the energy relative to the elements is -0.170 eV per atom.

Computed, not measured: a relaxed BaPuGa2O8 crystal at the GGA-PBE level of DFT.

abc: 4.832 5.217 7.634
angles: 80.46 89.75 92.38
Positions (direct):
Ba  0.000  0.000  0.500
Pu  0.000  0.000  0.000
Ga  0.558  0.487  0.817
Ga  0.442  0.513  0.183
O  0.197  0.785  0.206
O  0.702  0.666  0.003
O  0.798  0.123  0.170
O  0.803  0.215  0.794
O  0.298  0.334  0.997
O  0.202  0.877  0.830
O  0.521  0.669  0.594
O  0.479  0.331  0.406

As for the magnetization: 0.1643 μB per atom. The raw formation energy comes out at -1.968 eV per atom. For the electronic total energy, the calculation gives -7.132 eV per atom.

Computed, not measured: a relaxed CsMg6Si crystal at the GGA-PBE level of DFT.

abc: 9.820 9.820 4.812
angles: 90.00 90.00 143.61
Positions (direct):
Cs  0.297  0.703  0.500
Mg  0.809  0.685  0.500
Mg  0.315  0.191  0.500
Mg  0.707  0.798  0.000
Mg  0.202  0.293  0.000
Mg  0.613  0.387  0.000
Mg  0.117  0.883  0.000
Si  0.941  0.059  0.500

For the density of states at the Fermi level, the calculation gives 4.01 states/eV/cell. As for the magnetization: 0.0000 μB per atom. The raw formation energy comes out at 0.160 eV per atom. The relative energy among the computed polymorphs is 0 meV/atom. For the electronic total energy, the calculation gives -1.821 eV per atom.